{"formula": "ZrTlSn2", "functional": "GGA-PBE", "state": "relaxed", "spacegroup": "F-43m (216)", "total_energy_ev_per_atom": -4.5062, "mass_density_g_cm3": 8.6, "lattice_angstrom": [[0.000, 3.716, 3.716], [3.716, 0.000, 3.716], [3.716, 3.716, 0.000]], "species": ["Zr", "Tl", "Sn", "Sn"], "frac_coords": [[0.000, 0.000, 0.000], [0.750, 0.750, 0.750], [0.250, 0.250, 0.250], [0.500, 0.500, 0.500]]}

---

{"formula": "Zr3TlSn5", "functional": "GGA-PBE", "state": "relaxed", "spacegroup": "P6/mmm (191)", "total_energy_ev_per_atom": -5.4740, "mass_density_g_cm3": 7.2, "lattice_angstrom": [[6.102, 0.000, 0.000], [-3.051, 5.284, 0.000], [0.000, 0.000, 7.701]], "species": ["Zr", "Zr", "Zr", "Tl", "Sn", "Sn", "Sn", "Sn", "Sn"], "frac_coords": [[0.000, 0.500, 0.000], [0.500, 0.000, 0.000], [0.500, 0.500, 0.000], [0.000, 0.000, 0.500], [0.000, 0.000, 0.000], [0.333, 0.667, 0.317], [0.333, 0.667, 0.683], [0.667, 0.333, 0.317], [0.667, 0.333, 0.683]]}

---

{"formula": "Tm3Sn7", "functional": "GGA-PBE", "state": "relaxed", "spacegroup": "Cmmm (65)", "total_energy_ev_per_atom": -4.6235, "mass_density_g_cm3": 8.7, "lattice_angstrom": [[2.192, -13.111, 0.000], [2.192, 13.111, 0.000], [0.000, 0.000, 4.449]], "species": ["Tm", "Tm", "Tm", "Sn", "Sn", "Sn", "Sn", "Sn", "Sn", "Sn"], "frac_coords": [[0.000, 0.000, 0.000], [0.311, 0.689, 0.500], [0.689, 0.311, 0.500], [0.096, 0.904, 0.500], [0.211, 0.789, 0.000], [0.403, 0.597, 0.000], [0.500, 0.500, 0.500], [0.597, 0.403, 0.000], [0.789, 0.211, 0.000], [0.904, 0.096, 0.500]]}

---

{"formula": "Tm2Sn5", "functional": "GGA-PBE", "state": "relaxed", "spacegroup": "Pmmn (59)", "total_energy_ev_per_atom": -4.6023, "mass_density_g_cm3": 8.5, "lattice_angstrom": [[4.347, 0.000, 0.000], [0.000, 4.411, 0.000], [0.000, 0.000, 18.962]], "species": ["Tm", "Tm", "Tm", "Tm", "Sn", "Sn", "Sn", "Sn", "Sn", "Sn", "Sn", "Sn", "Sn", "Sn"], "frac_coords": [[0.250, 0.250, 0.130], [0.250, 0.750, 0.700], [0.750, 0.250, 0.300], [0.750, 0.750, 0.870], [0.250, 0.250, 0.424], [0.250, 0.250, 0.577], [0.250, 0.250, 0.842], [0.250, 0.750, 0.002], [0.250, 0.750, 0.267], [0.750, 0.250, 0.733], [0.750, 0.250, 0.998], [0.750, 0.750, 0.158], [0.750, 0.750, 0.423], [0.750, 0.750, 0.576]]}

---

{"formula": "TmSnW", "functional": "GGA-PBE", "state": "relaxed", "spacegroup": "F-43m (216)", "total_energy_ev_per_atom": -5.9631, "mass_density_g_cm3": 9.7, "lattice_angstrom": [[0.000, 3.431, 3.431], [3.431, 0.000, 3.431], [3.431, 3.431, 0.000]], "species": ["Tm", "Sn", "W"], "frac_coords": [[0.000, 0.000, 0.000], [0.750, 0.750, 0.750], [0.250, 0.250, 0.250]]}

---

{"formula": "YTmSn4", "functional": "GGA-PBE", "state": "relaxed", "spacegroup": "Amm2 (38)", "total_energy_ev_per_atom": -5.0663, "mass_density_g_cm3": 7.8, "lattice_angstrom": [[4.335, 0.000, 0.000], [0.000, 2.209, 8.152], [0.000, -2.209, 8.152]], "species": ["Y", "Tm", "Sn", "Sn", "Sn", "Sn"], "frac_coords": [[0.000, 0.000, 0.000], [0.500, 0.803, 0.803], [0.000, 0.337, 0.337], [0.000, 0.650, 0.650], [0.500, 0.155, 0.155], [0.500, 0.465, 0.465]]}

---

{"formula": "YTmSn2", "functional": "GGA-PBE", "state": "relaxed", "spacegroup": "Amm2 (38)", "total_energy_ev_per_atom": -4.6451, "mass_density_g_cm3": 6.5, "lattice_angstrom": [[3.336, 0.000, 0.000], [0.000, 3.083, 6.130], [0.000, -3.083, 6.130]], "species": ["Y", "Tm", "Sn", "Sn"], "frac_coords": [[0.000, 0.000, 0.000], [0.000, 0.720, 0.720], [0.000, 0.246, 0.246], [0.000, 0.477, 0.477]]}

---

{"formula": "TmZrSn4", "functional": "GGA-PBE", "state": "relaxed", "spacegroup": "Amm2 (38)", "total_energy_ev_per_atom": -5.3105, "mass_density_g_cm3": 8.4, "lattice_angstrom": [[4.274, 0.000, 0.000], [0.000, 2.125, 8.019], [0.000, -2.125, 8.019]], "species": ["Tm", "Zr", "Sn", "Sn", "Sn", "Sn"], "frac_coords": [[0.000, 0.000, 0.000], [0.500, 0.202, 0.202], [0.000, 0.347, 0.347], [0.000, 0.668, 0.668], [0.500, 0.538, 0.538], [0.500, 0.848, 0.848]]}

---

{"formula": "USn3", "functional": "GGA-PBE", "state": "relaxed", "spacegroup": "Pm-3m (221)", "total_energy_ev_per_atom": -5.9566, "mass_density_g_cm3": 10.0, "lattice_angstrom": [[4.628, 0.000, 0.000], [0.000, 4.628, 0.000], [0.000, 0.000, 4.628]], "species": ["U", "Sn", "Sn", "Sn"], "frac_coords": [[0.000, 0.000, 0.000], [0.000, 0.500, 0.500], [0.500, 0.000, 0.500], [0.500, 0.500, 0.000]]}

---

{"formula": "USn3", "functional": "GGA-PBE", "state": "relaxed", "spacegroup": "P2/m (10)", "total_energy_ev_per_atom": -5.9570, "mass_density_g_cm3": 9.9, "lattice_angstrom": [[4.628, 0.000, 0.000], [0.000, 4.611, 0.000], [-0.008, 0.000, 4.660]], "species": ["U", "Sn", "Sn", "Sn"], "frac_coords": [[0.000, 0.000, 0.000], [0.000, 0.500, 0.500], [0.500, 0.000, 0.500], [0.500, 0.500, 0.000]]}

---

{"formula": "YUSn", "functional": "GGA-PBE", "state": "relaxed", "spacegroup": "F-43m (216)", "total_energy_ev_per_atom": -6.5566, "mass_density_g_cm3": 7.8, "lattice_angstrom": [[0.000, 3.616, 3.616], [3.616, 0.000, 3.616], [3.616, 3.616, 0.000]], "species": ["Y", "U", "Sn"], "frac_coords": [[0.000, 0.000, 0.000], [0.250, 0.250, 0.250], [0.750, 0.750, 0.750]]}

---

{"formula": "SnW", "functional": "GGA-PBE", "state": "relaxed", "spacegroup": "F-43m (216)", "total_energy_ev_per_atom": -6.3825, "mass_density_g_cm3": 8.2, "lattice_angstrom": [[0.000, 3.130, 3.130], [3.130, 0.000, 3.130], [3.130, 3.130, 0.000]], "species": ["Sn", "W"], "frac_coords": [[0.000, 0.000, 0.000], [0.750, 0.750, 0.750]]}